1.
# Cs2GePbBr6

A relaxed structure of Cs2GePbBr6 (PBE-GGA, Alexandria).

Results
ρ: 4.37 g/cm³
M_tot: 0.000 μB/f.u.
Offset from the most stable computed form: 0 meV/atom
Total energy: -32.02 eV/cell

abc: 8.197 8.197 8.196
angles: 60.00 60.00 90.00
Element x y z (fractional)
Pb: 0.000 0.000 0.000
Cs: 0.750 0.250 0.500
Cs: 0.250 0.750 0.500
Ge: 0.500 0.500 0.000
Br: 0.259 0.259 0.482
Br: 0.741 0.741 0.518
Br: 0.259 0.259 0.000
Br: 0.741 0.741 0.000
Br: 0.741 0.259 0.000
Br: 0.259 0.741 0.000

2.
# AcSmPaN3

A relaxed structure of AcSmPaN3 (PBE-GGA, Alexandria).

Results
ρ: 8.08 g/cm³
M_tot: 0.000 μB/f.u.
Total energy: -98.75 eV/cell

abc: 3.830 7.639 9.265
angles: 99.63 90.00 90.00
Element x y z (fractional)
Ac: 0.750 0.826 0.859
Ac: 0.250 0.174 0.141
Sm: 0.250 0.629 0.142
Sm: 0.750 0.371 0.858
Pa: 0.250 0.067 0.608
Pa: 0.750 0.933 0.392
N: 0.250 0.795 0.391
N: 0.750 0.895 0.149
N: 0.750 0.402 0.115
N: 0.750 0.205 0.609
N: 0.250 0.598 0.885
N: 0.250 0.105 0.851